[1]
The following is a DFT calculation (GGA-PBE) of a relaxed structure of GeMo2IrRu.

Cell lengths 4.5727, 4.5727, 4.4135 Å; angles 90.00, 90.00, 90.00 degrees
Last column: nearest neighbours and their distance in Å.
Space group P4/mmm (No. 123)
One atom of each set of equivalent atoms:
Ge  0.0000  0.0000  0.0000 [1 per cell]  2 Ru 2.21, 4 Mo 2.29
Mo  0.0000  0.5000  0.0000 [2 per cell]  2 Ge 2.29
Ir  0.5000  0.5000  0.5000 [1 per cell]  8 Mo 3.18, 4 Ru 3.23
Ru  0.0000  0.0000  0.5000 [1 per cell]  2 Ge 2.21

ΔH_f (0 K) = 1418 meV per atom
crystal system = tetragonal
magnetization = 0.10 μB/atom
D(E_F) = 7.90 states/eV per cell

[2]
The following is a DFT calculation (GGA-PBE) of a relaxed structure of GeMoIrSe2.

Cell lengths 4.9330, 4.9330, 4.6129 Å; angles 90.00, 90.00, 90.00 degrees
Last column: nearest neighbours and their distance in Å.
Space group P4/mmm (No. 123)
One atom of each set of equivalent atoms:
Ge  0.0000  0.0000  0.0000 [1 per cell]  2 Ir 2.31, 4 Se 2.47
Mo  0.5000  0.5000  0.5000 [1 per cell]  8 Se 3.38, 4 Ir 3.49
Ir  0.0000  0.0000  0.5000 [1 per cell]  2 Ge 2.31
Se  0.0000  0.5000  0.0000 [2 per cell]  2 Ge 2.47

uncorrected formation energy = 1262 meV per atom
crystal system = tetragonal
magnetization = 0.63 μB/atom
D(E_F) = 3.68 states/eV per cell

[3]
The following is a DFT calculation (GGA-PBE) of a relaxed structure of ThGe2MoIr.

Cell lengths 4.3569, 4.3569, 10.1127 Å; angles 90.00, 90.00, 90.00 degrees
Last column: nearest neighbours and their distance in Å.
Space group I-4m2 (No. 119)
One atom of each set of equivalent atoms:
Th  0.0000  0.0000  0.0000 [2 per cell]  4 Mo 3.34, 4 Ir 3.34, 8 Ge 3.34
Ge  0.0000  0.0000  0.3731 [4 per cell]  2 Mo 2.51, 2 Ir 2.51, 1 Ge 2.57
Mo  0.0000  0.5000  0.2500 [2 per cell]  4 Ge 2.51
Ir  0.0000  0.5000  0.7500 [2 per cell]  4 Ge 2.51

ΔH_f (0 K) = -520 meV per atom
crystal system = tetragonal
magnetization = 0.00 μB/atom
D(E_F) = 9.61 states/eV per cell

[4]
The following is a DFT calculation (GGA-PBE) of a relaxed structure of VGeMoIr.

Cell lengths 6.1290, 6.1290, 6.1290 Å; angles 90.00, 90.00, 90.00 degrees
Last column: nearest neighbours and their distance in Å.
Space group F-43m (No. 216)
One atom of each set of equivalent atoms:
V  0.0000  0.0000  0.0000 [4 per cell]  4 Ir 2.65, 4 Mo 2.65
Ge  0.0000  0.0000  0.5000 [4 per cell]  4 Mo 2.65, 4 Ir 2.65
Mo  0.2500  0.2500  0.2500 [4 per cell]  4 Ge 2.65, 4 V 2.65
Ir  0.2500  0.2500  0.7500 [4 per cell]  4 Ge 2.65, 4 V 2.65

ΔH_f (0 K) = -225 meV per atom
crystal system = cubic
magnetization = 0.00 μB/atom
D(E_F) = 8.15 states/eV per cell